[1]
A plane-wave DFT calculation with GGA-PBE was carried out for Pm2Er9Tm3 after structural relaxation.

Values from the calculation:
Total moment in μB per formula unit: 0.00
Symmetry: P-1 (2)
Raw total energy in eV per atom: -4.516

```
Pm2Er9Tm3
1.0
3.496 0.000 0.000
-0.080 11.086 0.000
-1.673 -2.080 11.235
Pm Er Tm
2 9 3
Direct
0.089 0.370 0.221 Pm
0.911 0.630 0.779 Pm
0.044 0.792 0.074 Er
0.189 0.957 0.363 Er
0.251 0.773 0.566 Er
0.346 0.328 0.705 Er
0.500 0.500 0.000 Er
0.654 0.672 0.295 Er
0.749 0.227 0.434 Er
0.811 0.043 0.637 Er
0.956 0.208 0.926 Er
0.425 0.923 0.856 Tm
0.500 0.500 0.500 Tm
0.575 0.077 0.144 Tm
```

***

[2]
A plane-wave DFT calculation with GGA-PBE was carried out for Pm5Er4Tm after structural relaxation.

Values from the calculation:
Energy above the lowest structure with this stoichiometry in meV per atom: 0.0
Total moment in μB per formula unit: 0.00
Symmetry: P4/mmm (123)
Raw total energy in eV per atom: -4.629

```
Pm5Er4Tm
1.0
3.590 0.000 0.000
0.000 3.590 0.000
0.000 0.000 25.049
Pm Er Tm
5 4 1
Direct
0.000 0.000 0.000 Pm
0.000 0.000 0.200 Pm
0.000 0.000 0.400 Pm
0.000 0.000 0.600 Pm
0.000 0.000 0.800 Pm
0.500 0.500 0.100 Er
0.500 0.500 0.300 Er
0.500 0.500 0.700 Er
0.500 0.500 0.900 Er
0.500 0.500 0.500 Tm
```